! KPu2MoO8 | Alexandria via LeMat-Bulk | GGA+U | relaxed; values from VASP
! size of the total moment = 7.0 μB/cell
! space group = No. 12
! crystal system = monoclinic
! energy = -8.614 eV/atom
&SYSTEM
  ibrav = 0, nat = 12, ntyp = 4
/
ATOMIC_SPECIES
K 39.10 K.upf
Pu 244.00 Pu.upf
Mo 95.94 Mo.upf
O 16.00 O.upf
CELL_PARAMETERS angstrom
3.635 -3.505 0.000
3.635 3.505 0.000
-0.295 0.000 6.953
ATOMIC_POSITIONS crystal
K 0.000 0.000 0.000
Pu 0.490 0.490 0.745
Pu 0.510 0.510 0.255
Mo 0.000 0.000 0.500
O 0.195 0.793 0.304
O 0.207 0.805 0.696
O 0.293 0.293 0.505
O 0.337 0.337 0.019
O 0.663 0.663 0.981
O 0.707 0.707 0.495
O 0.793 0.195 0.304
O 0.805 0.207 0.696